! CeMgCdBi PBE optimized geometry; values from VASP
&SYSTEM
  ibrav = 0, nat = 4, ntyp = 4
/
ATOMIC_SPECIES
Mg 24.30 Mg.upf
Bi 208.98 Bi.upf
Ce 140.12 Ce.upf
Cd 112.41 Cd.upf
CELL_PARAMETERS angstrom
-3.1038 -1.6109 4.0423
0.9949 -4.6474 2.4456
1.9158 -0.0377 4.9897
ATOMIC_POSITIONS angstrom
Mg 0.0000 0.0000 0.0000
Bi -0.0483 -1.5740 2.8694
Ce -0.0965 -3.1480 5.7388
Cd -0.1448 -4.7220 8.6083
! * distance to the lowest polymorph of the same formula: 125 meV per atom
! * N(E_F): 7.031 states/eV per cell